No. 1
Bi3SbAs4 after structural relaxation. Source: Alexandria via LeMat-Bulk, functional GGA-PBE.

```
Bi3SbAs4
1.0
5.991 0.000 0.000
0.000 5.991 0.000
0.000 0.000 5.991
Bi Sb As
3 1 4
direct
0.000 0.000 0.500
0.000 0.500 0.000
0.500 0.000 0.000
0.500 0.500 0.500
0.000 0.000 0.000
0.000 0.500 0.500
0.500 0.000 0.500
0.500 0.500 0.000
```

Properties
Fermi-level density of states, states/eV/atom: 0.325
DFT total energy, eV/cell: -34.107
Crystal system: cubic

---

No. 2
Sr5Sn2Sb6 after structural relaxation. Source: Alexandria via LeMat-Bulk, functional GGA-PBE.

```
Sr5Sn2Sb6
1.0
12.708 0.000 0.000
0.000 15.690 0.000
0.000 0.000 4.629
Sr Sn Sb
10 4 12
direct
0.000 0.000 0.000
0.073 0.252 0.000
0.169 0.516 0.000
0.331 0.016 0.000
0.427 0.752 0.000
0.500 0.500 0.000
0.573 0.248 0.000
0.669 0.984 0.000
0.831 0.484 0.000
0.927 0.748 0.000
0.173 0.723 0.500
0.327 0.223 0.500
0.673 0.777 0.500
0.827 0.277 0.500
0.000 0.401 0.500
0.000 0.599 0.500
0.151 0.103 0.500
0.180 0.838 0.000
0.320 0.338 0.000
0.349 0.603 0.500
0.500 0.099 0.500
0.500 0.901 0.500
0.651 0.397 0.500
0.680 0.662 0.000
0.820 0.162 0.000
0.849 0.897 0.500
```

Properties
Fermi-level density of states, states/eV/atom: 0.135
DFT total energy, eV/cell: -102.017
Crystal system: orthorhombic

---

No. 3
BaUGe2S8 after structural relaxation. Source: Alexandria via LeMat-Bulk, functional GGA-PBE.

```
BaUGe2S8
1.0
6.277 0.000 0.000
-3.138 5.436 0.000
0.000 0.000 9.041
Ba U Ge S
1 1 2 8
direct
0.000 0.000 0.000
0.000 0.000 0.500
0.333 0.667 0.752
0.667 0.333 0.248
0.008 0.676 0.331
0.324 0.333 0.331
0.333 0.008 0.669
0.333 0.667 0.989
0.667 0.333 0.011
0.667 0.992 0.331
0.676 0.667 0.669
0.992 0.324 0.669
```

Properties
Fermi-level density of states, states/eV/atom: 0.164
DFT total energy, eV/cell: -64.983
Crystal system: trigonal

---

Calculated formation energy (no corrections), 25 -951 -918 kJ/mol of formula units (same order as the records).
Calculated total magnetization, 0.00 0.00 0.08 μB per cell (same order as the records).
Calculated calculated density, 8.1 5.1 4.2 g cm⁻³ (same order as the records).